1.
# YTlBr2 PBE optimized geometry
# **Crystal system**: tetragonal
# **Energy relative to the elements, uncorrected**: -2.779 eV per formula unit
# **Total moment**: 0.00 μB/cell
# **Space group**: I-4m2, No. 119
# **Energy above the lowest structure with this stoichiometry**: 1.610 eV/f.u.
data_YTlBr2
_chemical_formula_sum 'Y1 Tl1 Br2'
_cell_length_a 6.6238
_cell_length_b 6.6238
_cell_length_c 6.6238
_cell_angle_alpha 141.38
_cell_angle_beta 141.38
_cell_angle_gamma 55.76
_symmetry_space_group_name_H-M 'P 1'
_symmetry_Int_Tables_number 1
_symmetry_space_group_name_Hall 'P 1'
loop_
_atom_site_label
_atom_site_fract_x
_atom_site_fract_y
_atom_site_fract_z
_atom_site_occupancy
Y1 0.7500 0.2500 0.5000 1
Tl1 0.5000 0.5000 0.0000 1
Br1 0.0000 0.0000 0.0000 1
Br2 0.2500 0.7500 0.5000 1

=====

2.
# YTlBr2 PBE optimized geometry
# **Crystal system**: trigonal
# **Energy relative to the elements, uncorrected**: -4.389 eV per formula unit
# **Total moment**: 0.00 μB/cell
# **Space group**: R-3m, No. 166
# **Energy above the lowest structure with this stoichiometry**: 0.000 eV/f.u.
data_YTlBr2
_chemical_formula_sum 'Y1 Tl1 Br2'
_cell_length_a 11.0711
_cell_length_b 11.0711
_cell_length_c 11.0711
_cell_angle_alpha 19.40
_cell_angle_beta 19.40
_cell_angle_gamma 19.40
_symmetry_space_group_name_H-M 'P 1'
_symmetry_Int_Tables_number 1
_symmetry_space_group_name_Hall 'P 1'
loop_
_atom_site_label
_atom_site_fract_x
_atom_site_fract_y
_atom_site_fract_z
_atom_site_occupancy
Y1 0.5000 0.5000 0.5000 1
Tl1 0.0000 0.0000 0.0000 1
Br1 0.8929 0.8929 0.8929 1
Br2 0.1071 0.1071 0.1071 1

=====

Number 1: electronic total energy -14.95 eV per cell. Number 2: electronic total energy -16.56 eV per cell.